TcNiPd | PBE | optimized geometry

Cell lengths 5.6745, 5.6745, 5.6745 Å; angles 90.00, 90.00, 90.00 degrees
Last column: nearest neighbours and their distance in Å.
Element x y z (fractional)
1 Tc 0.0000 0.0000 0.0000  4 Ni 2.46
2 Tc 0.0000 0.5000 0.5000  4 Ni 2.46
3 Tc 0.5000 0.0000 0.5000  4 Ni 2.46
4 Tc 0.5000 0.5000 0.0000  4 Ni 2.46
5 Ni 0.2500 0.2500 0.7500  4 Tc 2.46, 4 Pd 2.46
6 Ni 0.2500 0.7500 0.2500  4 Tc 2.46, 4 Pd 2.46
7 Ni 0.7500 0.2500 0.2500  4 Tc 2.46, 4 Pd 2.46
8 Ni 0.7500 0.7500 0.7500  4 Tc 2.46, 4 Pd 2.46
9 Pd 0.0000 0.0000 0.5000  4 Ni 2.46
10 Pd 0.0000 0.5000 0.0000  4 Ni 2.46
11 Pd 0.5000 0.0000 0.0000  4 Ni 2.46
12 Pd 0.5000 0.5000 0.5000  4 Ni 2.46

ΔH_f (0 K) (meV/atom): 522
Distance to the lowest polymorph of the same formula (meV/atom): 0

=====

TlTcNiPd | PBE | optimized geometry

Cell lengths 6.3695, 6.3695, 6.3695 Å; angles 90.00, 90.00, 90.00 degrees
Last column: nearest neighbours and their distance in Å.
Element x y z (fractional)
1 Tl 0.0000 0.0000 0.0000  4 Ni 2.76, 4 Pd 2.76
2 Tl 0.0000 0.5000 0.5000  4 Ni 2.76, 4 Pd 2.76
3 Tl 0.5000 0.0000 0.5000  4 Ni 2.76, 4 Pd 2.76
4 Tl 0.5000 0.5000 0.0000  4 Ni 2.76, 4 Pd 2.76
5 Tc 0.0000 0.0000 0.5000  4 Ni 2.76, 4 Pd 2.76
6 Tc 0.0000 0.5000 0.0000  4 Ni 2.76, 4 Pd 2.76
7 Tc 0.5000 0.0000 0.0000  4 Ni 2.76, 4 Pd 2.76
8 Tc 0.5000 0.5000 0.5000  4 Ni 2.76, 4 Pd 2.76
9 Ni 0.2500 0.2500 0.2500  4 Tl 2.76, 4 Tc 2.76
10 Ni 0.2500 0.7500 0.7500  4 Tl 2.76, 4 Tc 2.76
11 Ni 0.7500 0.2500 0.7500  4 Tl 2.76, 4 Tc 2.76
12 Ni 0.7500 0.7500 0.2500  4 Tl 2.76, 4 Tc 2.76
13 Pd 0.2500 0.2500 0.7500  4 Tl 2.76, 4 Tc 2.76
14 Pd 0.2500 0.7500 0.2500  4 Tl 2.76, 4 Tc 2.76
15 Pd 0.7500 0.2500 0.2500  4 Tl 2.76, 4 Tc 2.76
16 Pd 0.7500 0.7500 0.7500  4 Tl 2.76, 4 Tc 2.76

Distance to the lowest polymorph of the same formula (meV/atom): 0

=====

ZnTcNiPd | PBE | optimized geometry

Cell lengths 6.0858, 6.0858, 6.0858 Å; angles 90.00, 90.00, 90.00 degrees
Last column: nearest neighbours and their distance in Å.
Element x y z (fractional)
1 Zn 0.0000 0.0000 0.0000  4 Ni 2.64, 4 Pd 2.64
2 Zn 0.0000 0.5000 0.5000  4 Ni 2.64, 4 Pd 2.64
3 Zn 0.5000 0.0000 0.5000  4 Ni 2.64, 4 Pd 2.64
4 Zn 0.5000 0.5000 0.0000  4 Ni 2.64, 4 Pd 2.64
5 Tc 0.0000 0.0000 0.5000  4 Ni 2.64, 4 Pd 2.64
6 Tc 0.0000 0.5000 0.0000  4 Ni 2.64, 4 Pd 2.64
7 Tc 0.5000 0.0000 0.0000  4 Ni 2.64, 4 Pd 2.64
8 Tc 0.5000 0.5000 0.5000  4 Ni 2.64, 4 Pd 2.64
9 Ni 0.2500 0.2500 0.2500  4 Tc 2.64, 4 Zn 2.64
10 Ni 0.2500 0.7500 0.7500  4 Tc 2.64, 4 Zn 2.64
11 Ni 0.7500 0.2500 0.7500  4 Tc 2.64, 4 Zn 2.64
12 Ni 0.7500 0.7500 0.2500  4 Tc 2.64, 4 Zn 2.64
13 Pd 0.2500 0.2500 0.7500  4 Tc 2.64, 4 Zn 2.64
14 Pd 0.2500 0.7500 0.2500  4 Tc 2.64, 4 Zn 2.64
15 Pd 0.7500 0.2500 0.2500  4 Tc 2.64, 4 Zn 2.64
16 Pd 0.7500 0.7500 0.7500  4 Tc 2.64, 4 Zn 2.64

ΔH_f (0 K) (meV/atom): 135
Distance to the lowest polymorph of the same formula (meV/atom): 0

=====

NiTe2Pd | PBE | optimized geometry

Cell lengths 6.8757, 6.8757, 6.8757 Å; angles 90.00, 90.00, 90.00 degrees
Last column: nearest neighbours and their distance in Å.
Element x y z (fractional)
1 Ni 0.0000 0.0000 0.0000  4 Pd 2.98, 4 Te 2.98
2 Ni 0.0000 0.5000 0.5000  4 Pd 2.98, 4 Te 2.98
3 Ni 0.5000 0.0000 0.5000  4 Pd 2.98, 4 Te 2.98
4 Ni 0.5000 0.5000 0.0000  4 Pd 2.98, 4 Te 2.98
5 Te 0.0000 0.0000 0.5000  4 Te 2.98, 4 Pd 2.98
6 Te 0.0000 0.5000 0.0000  4 Te 2.98, 4 Pd 2.98
7 Te 0.2500 0.2500 0.7500  4 Te 2.98, 4 Ni 2.98
8 Te 0.2500 0.7500 0.2500  4 Te 2.98, 4 Ni 2.98
9 Te 0.5000 0.0000 0.0000  4 Te 2.98, 4 Pd 2.98
10 Te 0.5000 0.5000 0.5000  4 Te 2.98, 4 Pd 2.98
11 Te 0.7500 0.2500 0.2500  4 Te 2.98, 4 Ni 2.98
12 Te 0.7500 0.7500 0.7500  4 Ni 2.98, 4 Te 2.98
13 Pd 0.2500 0.2500 0.2500  4 Te 2.98, 4 Ni 2.98
14 Pd 0.2500 0.7500 0.7500  4 Te 2.98, 4 Ni 2.98
15 Pd 0.7500 0.2500 0.7500  4 Te 2.98, 4 Ni 2.98
16 Pd 0.7500 0.7500 0.2500  4 Te 2.98, 4 Ni 2.98

E (eV per atom): -3.796

=====

ThNiPd | PBE | optimized geometry

Cell lengths 6.3291, 6.3291, 6.3291 Å; angles 90.00, 90.00, 90.00 degrees
Last column: nearest neighbours and their distance in Å.
Element x y z (fractional)
1 Th 0.0000 0.0000 0.0000  4 Ni 2.74
2 Th 0.0000 0.5000 0.5000  4 Ni 2.74
3 Th 0.5000 0.0000 0.5000  4 Ni 2.74
4 Th 0.5000 0.5000 0.0000  4 Ni 2.74
5 Ni 0.2500 0.2500 0.2500  4 Th 2.74, 4 Pd 2.74
6 Ni 0.2500 0.7500 0.7500  4 Th 2.74, 4 Pd 2.74
7 Ni 0.7500 0.2500 0.7500  4 Th 2.74, 4 Pd 2.74
8 Ni 0.7500 0.7500 0.2500  4 Th 2.74, 4 Pd 2.74
9 Pd 0.0000 0.0000 0.5000  4 Ni 2.74
10 Pd 0.0000 0.5000 0.0000  4 Ni 2.74
11 Pd 0.5000 0.0000 0.0000  4 Ni 2.74
12 Pd 0.5000 0.5000 0.5000  4 Ni 2.74

ΔH_f (0 K) (meV/atom): -486

=====

ThNiPd | PBE | optimized geometry

Cell lengths 6.5716, 6.5716, 6.5716 Å; angles 90.00, 90.00, 90.00 degrees
Last column: nearest neighbours and their distance in Å.
Element x y z (fractional)
1 Th 0.0000 0.0000 0.0000  4 Ni 2.85, 4 Pd 2.85
2 Th 0.0000 0.5000 0.5000  4 Ni 2.85, 4 Pd 2.85
3 Th 0.5000 0.0000 0.5000  4 Ni 2.85, 4 Pd 2.85
4 Th 0.5000 0.5000 0.0000  4 Ni 2.85, 4 Pd 2.85
5 Ni 0.2500 0.2500 0.7500  4 Th 2.85
6 Ni 0.2500 0.7500 0.2500  4 Th 2.85
7 Ni 0.7500 0.2500 0.2500  4 Th 2.85
8 Ni 0.7500 0.7500 0.7500  4 Th 2.85
9 Pd 0.2500 0.2500 0.2500  4 Th 2.85
10 Pd 0.2500 0.7500 0.7500  4 Th 2.85
11 Pd 0.7500 0.2500 0.7500  4 Th 2.85
12 Pd 0.7500 0.7500 0.2500  4 Th 2.85

ΔH_f (0 K) (meV/atom): -53